Density functional theory data (PBE) for an optimized crystal structure of AcTm2F11.

Cell: 8.266 10.500 11.897 Å, 90.00 90.00 90.00°
Space group Ibam (No. 72)
Symmetry-distinct sites (fractional):
Ac 0.000 0.000 0.250 [4 per cell]
Tm 0.143 0.320 0.000 [8 per cell]
F 0.000 0.500 0.000 [4 per cell]
F 0.107 0.183 0.134 [16 per cell]
F 0.120 0.284 0.500 [8 per cell]
F 0.228 0.075 0.372 [16 per cell]

Computed properties:
Raw formation energy = -80.50 kcal/mol of atoms



Density functional theory data (PBE) for an optimized crystal structure of Ac3TmF.

Cell: 5.512 5.512 5.512 Å, 90.00 90.00 90.00°
Space group Pm-3m (No. 221)
Symmetry-distinct sites (fractional):
Ac 0.000 0.000 0.500 [3 per cell]
Tm 0.500 0.500 0.500 [1 per cell]
F 0.000 0.000 0.000 [1 per cell]

Computed properties:
Raw formation energy = -21.37 kcal/mol of atoms



Density functional theory data (PBE) for an optimized crystal structure of Ac2TmF8.

Cell: 16.652 4.046 5.628 Å, 90.00 104.50 90.00°
Space group C2/m (No. 12)
Symmetry-distinct sites (fractional):
Ac 0.157 0.000 0.145 [4 per cell]
Tm 0.000 0.500 0.500 [2 per cell]
F 0.016 0.000 0.298 [4 per cell]
F 0.094 0.500 0.855 [4 per cell]
F 0.115 0.500 0.366 [4 per cell]
F 0.247 0.000 0.846 [4 per cell]

Computed properties:
Raw formation energy = -90.71 kcal/mol of atoms



Density functional theory data (PBE) for an optimized crystal structure of AcU2F8.

Cell: 3.912 6.817 11.670 Å, 90.00 90.00 90.00°
Space group Immm (No. 71)
Symmetry-distinct sites (fractional):
Ac 0.000 0.000 0.000 [2 per cell]
U 0.000 0.000 0.327 [4 per cell]
F 0.000 0.210 0.500 [4 per cell]
F 0.000 0.266 0.166 [8 per cell]
F 0.000 0.500 0.350 [4 per cell]

Computed properties:
Raw formation energy = -78.00 kcal/mol of atoms



Density functional theory data (PBE) for an optimized crystal structure of Ac2UF8.

Cell: 4.410 5.513 13.336 Å, 90.00 90.00 90.00°
Space group Immm (No. 71)
Symmetry-distinct sites (fractional):
Ac 0.000 0.000 0.169 [4 per cell]
U 0.000 0.000 0.500 [2 per cell]
F 0.000 0.249 0.345 [8 per cell]
F 0.000 0.254 0.000 [4 per cell]
F 0.000 0.500 0.184 [4 per cell]

Computed properties:
Raw formation energy = -84.22 kcal/mol of atoms



Density functional theory data (PBE) for an optimized crystal structure of AcUF2.

Cell: 3.4327 3.4327 25.6365 Å, 90.00 90.00 120.00°
Space group R-3m (No. 166, hexagonal axes)
Symmetry-distinct sites (fractional):
Ac 0.0000 0.0000 0.0000 [3 per cell]
U 0.0000 0.0000 0.5000 [3 per cell]
F 0.0000 0.0000 0.1035 [6 per cell]

Computed properties:
Raw formation energy = -38.76 kcal/mol of atoms



Density functional theory data (PBE) for an optimized crystal structure of AcU2F11.

Cell: 8.534 10.759 11.805 Å, 90.00 90.00 90.00°
Space group Ibam (No. 72)
Symmetry-distinct sites (fractional):
Ac 0.000 0.000 0.250 [4 per cell]
U 0.144 0.319 0.000 [8 per cell]
F 0.000 0.500 0.000 [4 per cell]
F 0.094 0.183 0.136 [16 per cell]
F 0.130 0.283 0.500 [8 per cell]
F 0.230 0.074 0.368 [16 per cell]

Computed properties:
Raw formation energy = -87.45 kcal/mol of atoms



Repeat the seventh record exactly.
Density functional theory data (PBE) for an optimized crystal structure of AcU2F11.

Cell: 8.534 10.759 11.805 Å, 90.00 90.00 90.00°
Space group Ibam (No. 72)
Symmetry-distinct sites (fractional):
Ac 0.000 0.000 0.250 [4 per cell]
U 0.144 0.319 0.000 [8 per cell]
F 0.000 0.500 0.000 [4 per cell]
F 0.094 0.183 0.136 [16 per cell]
F 0.130 0.283 0.500 [8 per cell]
F 0.230 0.074 0.368 [16 per cell]

Computed properties:
Raw formation energy = -87.45 kcal/mol of atoms



> Among the records above, which one has the highest raw formation energy?

Ac3TmF



> Which value of raw formation energy does entry 1 give?

-80.50 kcal/mol of atoms



> Which value of raw formation energy does entry 2 give?

-21.37 kcal/mol of atoms